Crystalline CaNdEr2Au4 at its relaxed geometry. Source: the Alexandria database, functional PBE-GGA.

D(E_F): 0.617 states/eV/atom
crystal system: trigonal
formation enthalpy at 0 K: -0.813 eV per atom
ρ: 11.43 g/cm3

Unit cell a=8.8987 b=8.8987 c=8.8987 alpha=33.37 beta=33.37 gamma=33.37
Last column: nearest neighbours and their distance in Å.
Sites, in units of the cell vectors:
Ca (0.0000, 0.0000, 0.0000)  8 Au 3.14-3.16
Nd (0.5000, 0.5000, 0.5000)  8 Au 3.12-3.13
Er (0.2528, 0.2528, 0.2528)  8 Au 3.10-3.21
Er (0.7472, 0.7472, 0.7472)  8 Au 3.10-3.21
Au (0.1253, 0.1253, 0.1253)  3 Nd 3.13, 1 Ca 3.16, 4 Er 3.16-3.21
Au (0.3762, 0.3762, 0.3762)  4 Er 3.10-3.11, 1 Nd 3.12, 3 Ca 3.14
Au (0.6238, 0.6238, 0.6238)  4 Er 3.10-3.11, 1 Nd 3.12, 3 Ca 3.14
Au (0.8747, 0.8747, 0.8747)  3 Nd 3.13, 1 Ca 3.16, 4 Er 3.16-3.21



Crystalline TeAsCSe2 at its relaxed geometry. Source: the Alexandria database, functional PBE-GGA.

D(E_F): 0.683 states/eV/atom
crystal system: tetragonal
relative energy among the computed polymorphs: 0.099 eV per atom
ρ: 5.91 g/cm3
E_form (uncorrected): 1.15 eV/atom

Unit cell a=5.2680 b=5.2680 c=3.7703 alpha=90.00 beta=90.00 gamma=90.00
Last column: nearest neighbours and their distance in Å.
Sites, in units of the cell vectors:
Te (0.0000, 0.0000, 0.0000)  8 Se 3.24
As (0.5000, 0.5000, 0.5000)  2 C 1.89
C (0.5000, 0.5000, 0.0000)  2 As 1.89
Se (0.0000, 0.5000, 0.5000)  2 As 2.63
Se (0.5000, 0.0000, 0.5000)  2 As 2.63



Crystalline Rb12O5F3 at its relaxed geometry. Source: the Alexandria database, functional PBE-GGA.

D(E_F): 0.722 states/eV/atom
crystal system: cubic
ρ: 3.20 g/cm3
E_form (uncorrected): -1.36 eV/atom

Unit cell a=14.6282 b=14.6282 c=14.6282 alpha=109.47 beta=109.47 gamma=109.47
Last column: nearest neighbours and their distance in Å.
Sites, in units of the cell vectors:
Rb (0.0349, 0.2120, 0.1271)  2 O 2.57-2.79
Rb (0.0349, 0.3229, 0.9078)  2 O 2.57-2.79
Rb (0.0849, 0.7120, 0.6771)  2 O 2.57-2.79
Rb (0.0849, 0.8729, 0.4078)  2 O 2.57-2.79
Rb (0.0922, 0.6271, 0.4151)  2 O 2.57-2.79
Rb (0.0922, 0.9651, 0.6771)  2 O 2.57-2.79
Rb (0.1271, 0.0349, 0.2120)  2 O 2.57-2.79
Rb (0.1271, 0.5922, 0.9151)  2 O 2.57-2.79
Rb (0.1771, 0.2120, 0.5849)  2 O 2.57-2.79
Rb (0.1771, 0.4651, 0.5922)  2 O 2.57-2.79
Rb (0.2120, 0.1271, 0.0349)  2 O 2.57-2.79
Rb (0.2120, 0.5849, 0.1771)  2 O 2.57-2.79
Rb (0.2880, 0.3229, 0.9151)  2 O 2.57-2.79
Rb (0.2880, 0.4651, 0.3729)  2 O 2.57-2.79
Rb (0.3229, 0.9078, 0.0349)  2 O 2.57-2.79
Rb (0.3229, 0.9151, 0.2880)  2 O 2.57-2.79
Rb (0.3729, 0.2880, 0.4651)  2 O 2.57-2.79
Rb (0.3729, 0.5849, 0.9078)  2 O 2.57-2.79
Rb (0.4078, 0.0849, 0.8729)  2 O 2.57-2.79
Rb (0.4078, 0.8229, 0.5349)  2 O 2.57-2.79
Rb (0.4151, 0.0922, 0.6271)  2 O 2.57-2.79
Rb (0.4151, 0.8229, 0.7880)  2 O 2.57-2.79
Rb (0.4651, 0.3729, 0.2880)  2 O 2.57-2.79
Rb (0.4651, 0.5922, 0.1771)  2 O 2.57-2.79
Rb (0.5349, 0.4078, 0.8229)  2 O 2.57-2.79
Rb (0.5349, 0.6271, 0.7120)  2 O 2.57-2.79
Rb (0.5849, 0.1771, 0.2120)  2 O 2.57-2.79
Rb (0.5849, 0.9078, 0.3729)  2 O 2.57-2.79
Rb (0.5922, 0.1771, 0.4651)  2 O 2.57-2.79
Rb (0.5922, 0.9151, 0.1271)  2 O 2.57-2.79
Rb (0.6271, 0.4151, 0.0922)  2 O 2.57-2.79
Rb (0.6271, 0.7120, 0.5349)  2 O 2.57-2.79
Rb (0.6771, 0.0849, 0.7120)  2 O 2.57-2.79
Rb (0.6771, 0.0922, 0.9651)  2 O 2.57-2.79
Rb (0.7120, 0.5349, 0.6271)  2 O 2.57-2.79
Rb (0.7120, 0.6771, 0.0849)  2 O 2.57-2.79
Rb (0.7880, 0.4151, 0.8229)  2 O 2.57-2.79
Rb (0.7880, 0.8729, 0.9651)  2 O 2.57-2.79
Rb (0.8229, 0.5349, 0.4078)  2 O 2.57-2.79
Rb (0.8229, 0.7880, 0.4151)  2 O 2.57-2.79
Rb (0.8729, 0.4078, 0.0849)  2 O 2.57-2.79
Rb (0.8729, 0.9651, 0.7880)  2 O 2.57-2.79
Rb (0.9078, 0.0349, 0.3229)  2 O 2.57-2.79
Rb (0.9078, 0.3729, 0.5849)  2 O 2.57-2.79
Rb (0.9151, 0.1271, 0.5922)  2 O 2.57-2.79
Rb (0.9151, 0.2880, 0.3229)  2 O 2.57-2.79
Rb (0.9651, 0.6771, 0.0922)  2 O 2.57-2.79
Rb (0.9651, 0.7880, 0.8729)  2 O 2.57-2.79
O (0.0000, 0.0000, 0.0000)  6 Rb 2.79
O (0.0000, 0.0000, 0.5000)  6 Rb 2.79
O (0.0000, 0.5000, 0.0000)  6 Rb 2.79
O (0.0000, 0.5000, 0.5000)  6 Rb 2.79
O (0.1250, 0.7500, 0.8750)  4 Rb 2.57
O (0.1250, 0.8750, 0.2500)  4 Rb 2.57
O (0.2500, 0.1250, 0.8750)  4 Rb 2.57
O (0.2500, 0.6250, 0.3750)  4 Rb 2.57
O (0.3750, 0.2500, 0.6250)  4 Rb 2.57
O (0.3750, 0.6250, 0.7500)  4 Rb 2.57
O (0.5000, 0.0000, 0.0000)  6 Rb 2.79
O (0.5000, 0.0000, 0.5000)  6 Rb 2.79
O (0.5000, 0.5000, 0.0000)  6 Rb 2.79
O (0.5000, 0.5000, 0.5000)  6 Rb 2.79
O (0.6250, 0.3750, 0.2500)  4 Rb 2.57
O (0.6250, 0.7500, 0.3750)  4 Rb 2.57
O (0.7500, 0.3750, 0.6250)  4 Rb 2.57
O (0.7500, 0.8750, 0.1250)  4 Rb 2.57
O (0.8750, 0.1250, 0.7500)  4 Rb 2.57
O (0.8750, 0.2500, 0.1250)  4 Rb 2.57
F (0.1250, 0.2500, 0.3750)  8 Rb 3.19-3.27
F (0.1250, 0.3750, 0.7500)  8 Rb 3.19-3.27
F (0.2500, 0.3750, 0.1250)  8 Rb 3.19-3.27
F (0.2500, 0.8750, 0.6250)  8 Rb 3.19-3.27
F (0.3750, 0.1250, 0.2500)  8 Rb 3.19-3.27
F (0.3750, 0.7500, 0.1250)  8 Rb 3.19-3.27
F (0.6250, 0.2500, 0.8750)  8 Rb 3.19-3.27
F (0.6250, 0.8750, 0.7500)  8 Rb 3.19-3.27
F (0.7500, 0.1250, 0.3750)  8 Rb 3.19-3.27
F (0.7500, 0.6250, 0.8750)  8 Rb 3.19-3.27
F (0.8750, 0.6250, 0.2500)  8 Rb 3.19-3.27
F (0.8750, 0.7500, 0.6250)  8 Rb 3.19-3.27



Crystalline CuRuAuI2 at its relaxed geometry. Source: the Alexandria database, functional PBE-GGA.

D(E_F): 0.853 states/eV/atom
crystal system: tetragonal
relative energy among the computed polymorphs: 0.000 eV per atom
ρ: 7.07 g/cm3
E_form (uncorrected): 0.90 eV/atom

Unit cell a=5.2994 b=5.2994 c=5.1472 alpha=90.00 beta=90.00 gamma=90.00
Last column: nearest neighbours and their distance in Å.
Sites, in units of the cell vectors:
Cu (0.0000, 0.0000, 0.0000)  8 I 3.69, 4 Au 3.75
Ru (0.5000, 0.5000, 0.5000)  2 Au 2.57, 4 I 2.65
Au (0.5000, 0.5000, 0.0000)  2 Ru 2.57
I (0.0000, 0.5000, 0.5000)  2 Ru 2.65
I (0.5000, 0.0000, 0.5000)  2 Ru 2.65



Crystalline Tm2SiAu at its relaxed geometry. Source: the Alexandria database, functional PBE-GGA.

D(E_F): 0.580 states/eV/atom
crystal system: trigonal
ρ: 9.52 g/cm3
E_form (uncorrected): -0.62 eV/atom

Unit cell a=6.6630 b=6.6630 c=6.6630 alpha=37.47 beta=37.47 gamma=37.47
Last column: nearest neighbours and their distance in Å.
Sites, in units of the cell vectors:
Tm (0.2444, 0.2444, 0.2444)  3 Si 2.86, 3 Au 2.97
Tm (0.7556, 0.7556, 0.7556)  3 Si 2.86, 3 Au 2.97
Si (0.5000, 0.5000, 0.5000)  6 Tm 2.86
Au (0.0000, 0.0000, 0.0000)  6 Tm 2.97



Crystalline CoPbAu at its relaxed geometry. Source: the Alexandria database, functional PBE-GGA.

D(E_F): 1.677 states/eV/atom
crystal system: orthorhombic
relative energy among the computed polymorphs: 0.097 eV per atom
formation enthalpy at 0 K: 0.405 eV per atom
ρ: 13.21 g/cm3

Unit cell a=5.8565 b=5.8534 c=3.2913 alpha=73.73 beta=73.62 gamma=32.65
Last column: nearest neighbours and their distance in Å.
Sites, in units of the cell vectors:
Co (0.0000, 0.0000, 0.0000)  4 Au 2.66-2.67, 2 Pb 2.98
Pb (0.6733, 0.6733, 0.3267)  4 Co 2.98, 5 Au 3.16-3.22, 4 Pb 3.29
Au (0.3797, 0.3797, 0.6203)  4 Co 2.66-2.67



What did the second record say?
Crystalline TeAsCSe2 at its relaxed geometry. Source: the Alexandria database, functional PBE-GGA.

D(E_F): 0.683 states/eV/atom
crystal system: tetragonal
relative energy among the computed polymorphs: 0.099 eV per atom
ρ: 5.91 g/cm3
E_form (uncorrected): 1.15 eV/atom

Unit cell a=5.2680 b=5.2680 c=3.7703 alpha=90.00 beta=90.00 gamma=90.00
Last column: nearest neighbours and their distance in Å.
Sites, in units of the cell vectors:
Te (0.0000, 0.0000, 0.0000)  8 Se 3.24
As (0.5000, 0.5000, 0.5000)  2 C 1.89
C (0.5000, 0.5000, 0.0000)  2 As 1.89
Se (0.0000, 0.5000, 0.5000)  2 As 2.63
Se (0.5000, 0.0000, 0.5000)  2 As 2.63



- Which value of ρ does entry 5 give?
  9.52 g/cm3



What did the fourth record say?
Crystalline CuRuAuI2 at its relaxed geometry. Source: the Alexandria database, functional PBE-GGA.

D(E_F): 0.853 states/eV/atom
crystal system: tetragonal
relative energy among the computed polymorphs: 0.000 eV per atom
ρ: 7.07 g/cm3
E_form (uncorrected): 0.90 eV/atom

Unit cell a=5.2994 b=5.2994 c=5.1472 alpha=90.00 beta=90.00 gamma=90.00
Last column: nearest neighbours and their distance in Å.
Sites, in units of the cell vectors:
Cu (0.0000, 0.0000, 0.0000)  8 I 3.69, 4 Au 3.75
Ru (0.5000, 0.5000, 0.5000)  2 Au 2.57, 4 I 2.65
Au (0.5000, 0.5000, 0.0000)  2 Ru 2.57
I (0.0000, 0.5000, 0.5000)  2 Ru 2.65
I (0.5000, 0.0000, 0.5000)  2 Ru 2.65